No. 1
VASP calculation (SCAN) on MnAg2Au at its PBEsol-relaxed geometry.

## Properties
Spin magnetization   4.3 μB/f.u.
Crystal system   tetragonal
Calculated volume   16.14 A^3/atom

Structure (CIF):
```
data_MnAg2Au
_chemical_formula_sum 'Mn1 Ag2 Au1'
_symmetry_space_group_name_H-M 'P 4 m m'
_symmetry_Int_Tables_number 99
_cell_length_a 3.256
_cell_length_b 3.256
_cell_length_c 6.087
_cell_angle_alpha 90.00
_cell_angle_beta 90.00
_cell_angle_gamma 90.00
loop_
_symmetry_equiv_pos_as_xyz
'x,y,z'
'-y,x,z'
'-x,-y,z'
'y,-x,z'
'-x,y,z'
'y,x,z'
'x,-y,z'
'-y,-x,z'
loop_
_atom_site_label
_atom_site_type_symbol
_atom_site_fract_x
_atom_site_fract_y
_atom_site_fract_z
_atom_site_occupancy
Mn1 Mn 0.000 0.000 0.000 1
Ag1 Ag 0.000 0.000 0.505 1
Ag2 Ag 0.500 0.500 0.249 1
Au1 Au 0.500 0.500 0.772 1
```

No. 2
VASP calculation (SCAN) on LiLa2Au2 at its PBEsol-relaxed geometry.

## Properties
Spin magnetization   0.0 μB/f.u.
Crystal system   tetragonal
Calculated volume   25.84 A^3/atom

Structure (CIF):
```
data_LiLa2Au2
_chemical_formula_sum 'Li2 La4 Au4'
_symmetry_space_group_name_H-M 'P 4/m b m'
_symmetry_Int_Tables_number 127
_symmetry_space_group_name_Hall '-P 4 2ab'
_cell_length_a 8.073
_cell_length_b 8.073
_cell_length_c 3.965
_cell_angle_alpha 90.00
_cell_angle_beta 90.00
_cell_angle_gamma 90.00
loop_
_atom_site_label
_atom_site_type_symbol
_atom_site_fract_x
_atom_site_fract_y
_atom_site_fract_z
_atom_site_occupancy
Li1 Li 0.000 0.000 0.000 1
La1 La 0.164 0.336 0.500 1
Au1 Au 0.134 0.634 0.000 1
```

Values of total DFT energy (no corrections), in order: -150.8; -462.5, all in eV per cell.
Values of calculated formation energy, in order: -0.7; -4.3, all in eV/f.u..